No. 1
The following is a PBE calculation of a relaxed structure of Co2SnIr, from the Open Quantum Materials Database.

Output
* uncorrected energy: -6.655 eV per atom
* size of the total moment: 3.3 Bohr magnetons per cell

abc: 4.295 4.295 4.295
angles: 60.00 60.00 60.00
Fractional positions:
Co 0.000 0.000 0.000
Co 0.250 0.250 0.250
Sn 0.500 0.500 0.500
Ir 0.750 0.750 0.750

=====

No. 2
The following is a PBE calculation of a relaxed structure of Ba2LuNi, from the Open Quantum Materials Database.

Output
* uncorrected energy: -2.983 eV per atom
* size of the total moment: 0.0 Bohr magnetons per cell

abc: 5.635 5.635 5.635
angles: 60.00 60.00 60.00
Fractional positions:
Ba 0.000 0.000 0.000
Ba 0.250 0.250 0.250
Lu 0.750 0.750 0.750
Ni 0.500 0.500 0.500

=====

No. 3
The following is a PBE calculation of a relaxed structure of LuCuMo, from the Open Quantum Materials Database.

Output
* formation enthalpy at 0 K: 0.989 eV per atom
* uncorrected energy: -5.374 eV per atom
* distance to the lowest polymorph of the same formula: 0.000 eV per atom
* size of the total moment: 2.4 Bohr magnetons per cell

abc: 4.485 4.485 4.485
angles: 60.00 60.00 60.00
Fractional positions:
Lu 0.000 0.000 0.000
Cu 0.500 0.500 0.500
Mo 0.750 0.750 0.750